DFT (PBE with a Hubbard U) results for a relaxed structure of PaMn2WO8.

Lattice parameters (Å, degrees): 4.732 4.732 6.735 90.00 90.00 90.31
Fractional coordinates of all 12 atoms:
1 Pa 0.000 0.000 0.000
2 Mn 0.500 0.500 0.265
3 Mn 0.500 0.500 0.735
4 W 0.000 0.000 0.500
5 O 0.195 0.195 0.279
6 O 0.195 0.195 0.721
7 O 0.287 0.713 0.500
8 O 0.303 0.697 0.000
9 O 0.697 0.303 0.000
10 O 0.713 0.287 0.500
11 O 0.805 0.805 0.279
12 O 0.805 0.805 0.721

Total energy = -8.24 eV per atom
Theoretical density = 7.2 g/cm3
V = 12.567 A^3/atom